Record 1
ScMoAu2 | SCAN | PBEsol geometry

Computed properties:
ΔE_f ... -0.28 eV per atom

Cell and atoms, written as CIF:
```
data_ScMoAu2
_space_group_name_H-M_alt 'P 1'
_space_group_IT_number 1
_cell_length_a 2.9269
_cell_length_b 4.6288
_cell_length_c 4.9758
_cell_angle_alpha 90.00
_cell_angle_beta 90.00
_cell_angle_gamma 90.00
loop_
_space_group_symop_operation_xyz
'x,y,z'
loop_
_atom_site_label
_atom_site_type_symbol
_atom_site_fract_x
_atom_site_fract_y
_atom_site_fract_z
_atom_site_occupancy
Sc1 Sc 0.0000 0.0000 0.0000 1
Mo1 Mo 0.0000 0.5000 0.6385 1
Au1 Au 0.5000 0.0000 0.5033 1
Au2 Au 0.5000 0.5000 0.1536 1
```

=====

Record 2
Al3Re | SCAN | PBEsol geometry

Computed properties:
ΔE_f ... 0.47 eV per atom

Cell and atoms, written as CIF:
```
data_Al3Re
_space_group_name_H-M_alt 'P 1'
_space_group_IT_number 1
_cell_length_a 4.7832
_cell_length_b 4.7832
_cell_length_c 4.7832
_cell_angle_alpha 90.00
_cell_angle_beta 90.00
_cell_angle_gamma 90.00
loop_
_space_group_symop_operation_xyz
'x,y,z'
loop_
_atom_site_label
_atom_site_type_symbol
_atom_site_fract_x
_atom_site_fract_y
_atom_site_fract_z
_atom_site_occupancy
Al1 Al 0.0000 0.0000 0.5000 1
Al2 Al 0.0000 0.5000 0.0000 1
Al3 Al 0.5000 0.0000 0.0000 1
Re1 Re 0.0000 0.0000 0.0000 1
```